Material: Mn2NbZnO6
Method: DFT, GGA+U
State: optimized geometry

Its total energy is -74.92 eV for the cell shown. As for the spin magnetization: 9.0 μB/f.u.

Unit cell a=5.246 b=5.276 c=5.514 alpha=115.08 beta=92.02 gamma=116.91
Fractional positions:
Mn 0.000 0.000 0.000
Mn 0.494 0.014 0.524
Nb 0.787 0.586 0.384
Zn 0.263 0.524 0.830
O 0.078 0.827 0.231
O 0.187 0.805 0.727
O 0.434 0.521 0.188
O 0.595 0.502 0.677
O 0.772 0.180 0.222
O 0.897 0.088 0.711